Entry 1:
Sr2CuI | GGA-PBE | relaxed

ρ, g/cm3: 4.6
Uncorrected formation energy, eV per atom: -0.533
Space group: P4/mmm (123)
Excess energy over the best structure of this formula in the dataset, eV per atom: 0.093
Total energy, eV/cell: -11.1

Structure (POSCAR):
```
Sr2CuI
1.0
3.928 0.000 0.000
0.000 3.928 0.000
0.000 0.000 8.546
Sr Cu I
2 1 1
Direct
0.000 0.000 0.210 Sr
0.000 0.000 0.790 Sr
0.500 0.500 0.000 Cu
0.500 0.500 0.500 I
```



Entry 2:
Sr2CuI | GGA-PBE | relaxed

ρ, g/cm3: 4.5
Uncorrected formation energy, eV per atom: -0.336
Space group: Fm-3m (225)
Excess energy over the best structure of this formula in the dataset, eV per atom: 0.289
Total energy, eV/cell: -10.4

Structure (POSCAR):
```
Sr2CuI
1.0
0.000 4.069 4.069
4.069 0.000 4.069
4.069 4.069 0.000
Sr Cu I
2 1 1
Direct
0.250 0.250 0.250 Sr
0.750 0.750 0.750 Sr
0.000 0.000 0.000 Cu
0.500 0.500 0.500 I
```



Entry 3:
SrCuTe2I | GGA-PBE | relaxed

ρ, g/cm3: 5.4
Uncorrected formation energy, eV per atom: -0.530
Space group: P4/mmm (123)
Excess energy over the best structure of this formula in the dataset, eV per atom: 0.000
Total energy, eV/cell: -16.3

Structure (POSCAR):
```
SrCuTe2I
1.0
5.103 0.000 0.000
0.000 5.103 0.000
0.000 0.000 6.264
Sr Cu Te I
1 1 2 1
Direct
0.000 0.000 0.000 Sr
0.500 0.500 0.500 Cu
0.000 0.500 0.500 Te
0.500 0.000 0.500 Te
0.500 0.500 0.000 I
```



Entry 4:
SrCuTe2I | GGA-PBE | relaxed

ρ, g/cm3: 3.5
Uncorrected formation energy, eV per atom: 0.331
Space group: P4/mmm (123)
Excess energy over the best structure of this formula in the dataset, eV per atom: 0.861
Total energy, eV/cell: -12.0

Structure (POSCAR):
```
SrCuTe2I
1.0
6.366 0.000 0.000
0.000 6.366 0.000
0.000 0.000 6.246
Sr Cu Te I
1 1 2 1
Direct
0.000 0.000 0.000 Sr
0.500 0.500 0.500 Cu
0.000 0.500 0.000 Te
0.500 0.000 0.000 Te
0.000 0.000 0.500 I
```



Entry 5:
SrTl2Cu2I6 | GGA-PBE | relaxed

ρ, g/cm3: 4.9
Uncorrected formation energy, eV per atom: -0.707
Space group: C2/m (12)
Total energy, eV/cell: -31.7

Structure (POSCAR):
```
SrTl2Cu2I6
1.0
5.804 -4.302 0.000
5.804 4.302 0.000
-3.096 0.000 9.368
Sr Tl Cu I
1 2 2 6
Direct
0.000 0.000 0.000 Sr
0.193 0.193 0.636 Tl
0.807 0.807 0.364 Tl
0.480 0.480 0.196 Cu
0.520 0.520 0.804 Cu
0.173 0.702 0.708 I
0.278 0.278 0.993 I
0.298 0.827 0.292 I
0.702 0.173 0.708 I
0.722 0.722 0.007 I
0.827 0.298 0.292 I
```



Entry 6:
Sr2ZnCuI | GGA-PBE | relaxed

ρ, g/cm3: 4.3
Uncorrected formation energy, eV per atom: -0.418
Space group: P4/mmm (123)
Total energy, eV/cell: -12.4

Structure (POSCAR):
```
Sr2ZnCuI
1.0
6.012 0.000 0.000
0.000 6.012 0.000
0.000 0.000 4.638
Sr Zn Cu I
2 1 1 1
Direct
0.000 0.500 0.000 Sr
0.500 0.000 0.000 Sr
0.000 0.000 0.500 Zn
0.000 0.000 0.000 Cu
0.500 0.500 0.500 I
```



Entry 7:
TaCuI2 | GGA-PBE | relaxed

ρ, g/cm3: 9.8
Uncorrected formation energy, eV per atom: 0.792
Space group: Fm-3m (225)
Excess energy over the best structure of this formula in the dataset, eV per atom: 0.000
Total energy, eV/cell: -15.9

Structure (POSCAR):
```
TaCuI2
1.0
0.000 3.478 3.478
3.478 0.000 3.478
3.478 3.478 0.000
Ta Cu I
1 1 2
Direct
0.000 0.000 0.000 Ta
0.500 0.500 0.500 Cu
0.250 0.250 0.250 I
0.750 0.750 0.750 I
```



Entry 8:
TaCu2I | GGA-PBE | relaxed

ρ, g/cm3: 10.0
Uncorrected formation energy, eV per atom: 1.135
Space group: Fm-3m (225)
Excess energy over the best structure of this formula in the dataset, eV per atom: 0.316
Total energy, eV/cell: -17.1

Structure (POSCAR):
```
TaCu2I
1.0
0.000 3.303 3.303
3.303 0.000 3.303
3.303 3.303 0.000
Ta Cu I
1 2 1
Direct
0.000 0.000 0.000 Ta
0.250 0.250 0.250 Cu
0.750 0.750 0.750 Cu
0.500 0.500 0.500 I
```



Question: Number 4 is which compound?
Answer: SrCuTe2I